Version A
Below is a relaxed Rb2Ca2Rh crystal, with properties calculated at the GGA-PBE level.

extended XYZ file:
```
10
Lattice="7.6749 0.0000 0.0000 0.0000 7.6749 0.0000 0.0000 0.0000 7.2477" Properties=species:S:1:pos:R:3 pbc="T T T"
Rb 1.4515 2.3859 0.0000
Rb 2.3859 6.2234 0.0000
Rb 5.2890 1.4515 0.0000
Rb 6.2234 5.2890 0.0000
Ca 1.4282 5.2657 3.6238
Ca 2.4092 1.4282 3.6238
Ca 5.2657 6.2467 3.6238
Ca 6.2467 2.4092 3.6238
Rh 0.0000 0.0000 3.6238
Rh 3.8375 3.8375 3.6238
```

Summary:
Its theoretical density is 2.8 g/cm³. For the density of states at the Fermi level, the calculation gives 5.61 states/eV/cell. As for the symmetry: P4/mbm (127).

Version B
Below is a relaxed Rb2Ca2Rh crystal, with properties calculated at the GGA-PBE level.

extended XYZ file:
```
5
Lattice="-2.1397 2.1397 10.6184 2.1397 -2.1397 10.6184 2.1397 2.1397 -10.6184" Properties=species:S:1:pos:R:3 pbc="T T T"
Rb 2.1397 0.0000 5.3092
Rb 0.0000 2.1397 5.3092
Ca 0.0000 0.0000 1.5477
Ca 0.0000 0.0000 19.6892
Rh 0.0000 0.0000 10.6184
```

Summary:
Its theoretical density is 3.0 g/cm³. For the density of states at the Fermi level, the calculation gives 4.75 states/eV/cell. As for the symmetry: I4/mmm (139).

version A is preferred energetically. Next in line: 589 meV/atom higher.